# 1
Compound: VZn2Tc
Source: Alexandria
Functional: PBE
Structure: optimized geometry

Calculated values
Energy relative to the elements: 4.8 kcal/mol of atoms
E above lowest polymorph: 0 meV per atom

Cell: 6.086 6.086 6.086 Å, 90.00 90.00 90.00°
Sites, in units of the cell vectors:
V: 0.000 0.000 0.000
V: 0.000 0.500 0.500
V: 0.500 0.000 0.500
V: 0.500 0.500 0.000
Zn: 0.250 0.250 0.250
Zn: 0.250 0.250 0.750
Zn: 0.250 0.750 0.250
Zn: 0.250 0.750 0.750
Zn: 0.750 0.250 0.250
Zn: 0.750 0.250 0.750
Zn: 0.750 0.750 0.250
Zn: 0.750 0.750 0.750
Tc: 0.000 0.000 0.500
Tc: 0.000 0.500 0.000
Tc: 0.500 0.000 0.000
Tc: 0.500 0.500 0.500

# 2
Compound: Rb2CePr2Se6
Source: Alexandria
Functional: PBE
Structure: optimized geometry

Calculated values
Uncorrected formation energy: -1.705 eV per atom

Cell: 7.493 7.493 8.552 Å, 98.60 98.60 119.71°
Sites, in units of the cell vectors:
Rb: 0.169 0.831 0.000
Rb: 0.831 0.169 0.000
Ce: 0.000 0.000 0.500
Pr: 0.334 0.666 0.500
Pr: 0.666 0.334 0.500
Se: 0.065 0.388 0.695
Se: 0.253 0.253 0.306
Se: 0.388 0.065 0.695
Se: 0.612 0.935 0.305
Se: 0.747 0.747 0.694
Se: 0.935 0.612 0.305

# 3
Compound: ErPuU
Source: Alexandria
Functional: PBE
Structure: optimized geometry

Calculated values
Energy relative to the elements: 5.3 kcal/mol of atoms
E above lowest polymorph: 0 meV per atom

Cell: 3.486 3.486 11.976 Å, 90.00 90.00 90.00°
Sites, in units of the cell vectors:
Er: 0.000 0.000 0.000
Er: 0.500 0.500 0.500
Pu: 0.000 0.000 0.292
Pu: 0.500 0.500 0.792
U: 0.000 0.000 0.715
U: 0.500 0.500 0.215

# 4
Compound: RhW2Se
Source: Alexandria
Functional: PBE
Structure: optimized geometry

Calculated values
Uncorrected formation energy: 1.038 eV per atom

Cell: 5.747 5.747 10.859 Å, 90.00 90.00 90.00°
Sites, in units of the cell vectors:
Rh: 0.000 0.000 0.000
Rh: 0.000 0.500 0.250
Rh: 0.500 0.000 0.750
Rh: 0.500 0.500 0.500
W: 0.240 0.250 0.125
W: 0.250 0.740 0.375
W: 0.250 0.760 0.875
W: 0.260 0.250 0.625
W: 0.740 0.750 0.625
W: 0.750 0.240 0.875
W: 0.750 0.260 0.375
W: 0.760 0.750 0.125
Se: 0.000 0.000 0.500
Se: 0.000 0.500 0.750
Se: 0.500 0.000 0.250
Se: 0.500 0.500 0.000

# 5
Compound: TiTe2MoN
Source: Alexandria
Functional: PBE
Structure: optimized geometry

Calculated values
Uncorrected formation energy: 0.304 eV per atom
E above lowest polymorph: 0 meV per atom

Cell: 5.471 5.471 3.781 Å, 90.00 90.00 90.00°
Sites, in units of the cell vectors:
Ti: 0.000 0.000 0.000
Te: 0.000 0.500 0.500
Te: 0.500 0.000 0.500
Mo: 0.500 0.500 0.500
N: 0.500 0.500 0.000

# 6
Compound: ScP
Source: Alexandria
Functional: PBE
Structure: optimized geometry

Calculated values
Energy relative to the elements: -8.4 kcal/mol of atoms

Cell: 4.287 4.287 22.554 Å, 90.00 90.00 120.00°
Sites, in units of the cell vectors:
Sc: 0.000 0.000 0.095
Sc: 0.000 0.000 0.905
Sc: 0.333 0.667 0.571
Sc: 0.333 0.667 0.762
Sc: 0.667 0.333 0.238
Sc: 0.667 0.333 0.429
P: 0.000 0.000 0.419
P: 0.000 0.000 0.581
P: 0.333 0.667 0.086
P: 0.333 0.667 0.248
P: 0.667 0.333 0.752
P: 0.667 0.333 0.914

# 7
Compound: CeHfAu
Source: Alexandria
Functional: PBE
Structure: optimized geometry

Calculated values
Energy relative to the elements: -3.6 kcal/mol of atoms
E above lowest polymorph: 177 meV per atom

Cell: 4.680 4.680 4.002 Å, 90.00 90.00 120.00°
Sites, in units of the cell vectors:
Ce: 0.000 0.000 0.000
Hf: 0.667 0.333 0.500
Au: 0.333 0.667 0.500

# 8
Compound: Tb2Er12Th
Source: Alexandria
Functional: PBE
Structure: optimized geometry

Calculated values
Energy relative to the elements: 0.7 kcal/mol of atoms

Cell: 3.531 5.538 24.118 Å, 96.58 94.13 90.03°
Sites, in units of the cell vectors:
Tb: 0.136 0.137 0.277
Tb: 0.864 0.863 0.723
Er: 0.093 0.595 0.191
Er: 0.226 0.728 0.457
Er: 0.301 0.799 0.597
Er: 0.341 0.339 0.676
Er: 0.430 0.929 0.857
Er: 0.469 0.467 0.934
Er: 0.531 0.533 0.066
Er: 0.570 0.071 0.143
Er: 0.659 0.661 0.324
Er: 0.699 0.201 0.403
Er: 0.774 0.272 0.543
Er: 0.907 0.405 0.809
Th: 0.000 0.000 0.000